This record from the Alexandria database describes a relaxed TiW2CO crystal. The functional is PBE with a Hubbard U.

Cell lengths 4.106, 4.106, 3.939 Å; angles 90.00, 90.00, 90.00 degrees
Sites, in units of the cell vectors:
Ti 0.000 0.000 0.000
W 0.000 0.500 0.500
W 0.500 0.000 0.500
C 0.500 0.500 0.000
O 0.000 0.000 0.500

## Properties
- total DFT energy (no corrections) (eV/atom) = -6.32
- space-group type = P4/mmm, No. 123